(1)
# Sc2InPd2

An optimized crystal structure of Sc2InPd2 (PBE, Alexandria).

```
Sc2InPd2
1.0
3.900 0.000 0.000
0.000 3.900 0.000
1.950 1.950 6.959
Sc Pd In
2 2 1
Direct
0.384 0.384 0.232
0.616 0.616 0.768
0.750 0.250 0.500
0.250 0.750 0.500
0.000 0.000 0.000
```

=====

(2)
# Sc6InPd5

An optimized crystal structure of Sc6InPd5 (PBE, Alexandria).

```
Sc6InPd5
1.0
4.544 0.004 -1.398
-0.731 6.190 -2.359
0.043 -0.450 8.221
Sc Pd In
6 5 1
Direct
0.172 0.429 0.345
0.173 0.916 0.345
0.500 0.265 0.000
0.500 0.735 0.000
0.827 0.084 0.655
0.828 0.571 0.655
0.343 0.843 0.686
0.668 0.668 0.336
0.000 0.500 0.000
0.332 0.332 0.664
0.657 0.157 0.314
0.000 0.000 0.000
```

=====

(3)
# Sc3In2Pd4

An optimized crystal structure of Sc3In2Pd4 (PBE, Alexandria).

```
Sc3In2Pd4
1.0
4.651 0.001 0.001
2.325 4.025 0.149
-0.002 -0.327 8.814
Sc In Pd
3 2 4
Direct
0.333 0.333 0.413
0.000 0.000 0.000
0.667 0.667 0.587
0.333 0.333 0.779
0.667 0.667 0.221
0.667 0.667 0.902
0.000 0.000 0.338
0.000 0.000 0.662
0.333 0.333 0.098
```

=====

(4)
# Sc4In3Pd

An optimized crystal structure of Sc4In3Pd (PBE, Alexandria).

```
Sc4In3Pd
1.0
-1.227 -0.721 -2.951
2.865 -1.332 -0.866
-4.925 -14.171 5.510
Sc Pd In
4 1 3
Direct
0.000 0.000 0.895
0.000 0.000 0.105
0.000 0.000 0.369
0.000 0.000 0.631
0.500 0.500 0.000
0.500 0.500 0.237
0.500 0.500 0.500
0.500 0.500 0.763
```

=====

Summary of formation enthalpy at 0 K in eV per atom
-0.47, -0.80, -0.76, -0.55
(order as listed above)
Summary of magnetization in μB/atom
0.00, 0.00, 0.00, 0.05
(order as listed above)